1.
# Na12ZnIn3 (PBE-GGA, relaxed)
data_Na12ZnIn3
_symmetry_space_group_name_H-M 'P 1'
_symmetry_Int_Tables_number 1
_symmetry_space_group_name_Hall 'P 1'
_cell_length_a 4.974
_cell_length_b 4.974
_cell_length_c 19.261
_cell_angle_alpha 90.00
_cell_angle_beta 90.00
_cell_angle_gamma 90.00
loop_
_atom_site_label
_atom_site_fract_x
_atom_site_fract_y
_atom_site_fract_z
Na1 0.500 0.500 0.500
Na2 0.500 0.000 0.878
Na3 0.000 0.500 0.878
Na4 0.500 0.500 0.753
Na5 0.500 0.000 0.625
In1 0.000 0.000 0.751
Na6 0.000 0.500 0.122
In2 0.000 0.000 0.500
Na7 0.500 0.500 0.247
Na8 0.500 0.000 0.122
In3 0.000 0.000 0.249
Na9 0.500 0.500 0.000
Na10 0.000 0.500 0.375
Zn1 0.000 0.000 0.000
Na11 0.000 0.500 0.625
Na12 0.500 0.000 0.375
# Total magnetization: 0.000 μB/cell
# Space group: P4/mmm (123)
# ΔE_f: -11 meV per atom
# Calculated volume: 476.5 Å³/f.u.

***

2.
# Na3ZnIn (PBE-GGA, relaxed)
data_Na3ZnIn
_symmetry_space_group_name_H-M 'P 1'
_symmetry_Int_Tables_number 1
_symmetry_space_group_name_Hall 'P 1'
_cell_length_a 5.542
_cell_length_b 5.542
_cell_length_c 5.542
_cell_angle_alpha 90.00
_cell_angle_beta 90.00
_cell_angle_gamma 90.00
loop_
_atom_site_label
_atom_site_fract_x
_atom_site_fract_y
_atom_site_fract_z
Na1 0.000 0.500 0.000
Zn1 0.000 0.000 0.000
Na2 0.000 0.000 0.500
In1 0.500 0.500 0.500
Na3 0.500 0.000 0.000
# Total magnetization: 0.000 μB/cell
# Distance to the lowest polymorph of the same formula: 198 meV per atom
# Space group: Pm-3m (221)
# ΔE_f: 233 meV per atom
# Calculated volume: 170.2 Å³/f.u.

***

3.
# NaZn4In4 (PBE-GGA, relaxed)
data_NaZn4In4
_symmetry_space_group_name_H-M 'P 1'
_symmetry_Int_Tables_number 1
_symmetry_space_group_name_Hall 'P 1'
_cell_length_a 5.668
_cell_length_b 9.070
_cell_length_c 9.070
_cell_angle_alpha 90.00
_cell_angle_beta 90.00
_cell_angle_gamma 90.00
loop_
_atom_site_label
_atom_site_fract_x
_atom_site_fract_y
_atom_site_fract_z
Na1 0.000 0.000 0.000
In1 0.879 0.367 0.137
In2 0.621 0.133 0.363
In3 0.379 0.637 0.133
Zn1 0.618 0.171 0.671
Zn2 0.618 0.829 0.329
In4 0.379 0.363 0.867
In5 0.121 0.863 0.367
Zn3 0.882 0.671 0.171
Zn4 0.382 0.671 0.829
Na2 0.500 0.500 0.500
In6 0.621 0.867 0.637
Zn5 0.118 0.171 0.329
In7 0.121 0.137 0.633
In8 0.879 0.633 0.863
Zn6 0.882 0.329 0.829
Zn7 0.118 0.829 0.671
Zn8 0.382 0.329 0.171
# Total magnetization: 0.000 μB/cell
# Space group: P4_2/n (86)
# ΔE_f: 73 meV per atom
# Calculated volume: 233.1 Å³/f.u.

***

4.
# NaZn4In12 (PBE-GGA, relaxed)
data_NaZn4In12
_symmetry_space_group_name_H-M 'P 1'
_symmetry_Int_Tables_number 1
_symmetry_space_group_name_Hall 'P 1'
_cell_length_a 8.405
_cell_length_b 8.405
_cell_length_c 8.405
_cell_angle_alpha 109.47
_cell_angle_beta 109.47
_cell_angle_gamma 109.47
loop_
_atom_site_label
_atom_site_fract_x
_atom_site_fract_y
_atom_site_fract_z
Zn1 0.000 0.000 0.500
In1 0.842 0.344 0.186
In2 0.656 0.814 0.158
Zn2 0.500 0.000 0.000
In3 0.656 0.498 0.842
In4 0.344 0.186 0.842
In5 0.502 0.158 0.344
In6 0.158 0.344 0.502
In7 0.814 0.158 0.656
In8 0.344 0.502 0.158
Zn3 0.000 0.500 0.000
In9 0.158 0.656 0.814
Zn4 0.500 0.500 0.500
In10 0.842 0.656 0.498
Na1 0.000 0.000 0.000
In11 0.186 0.842 0.344
In12 0.498 0.842 0.656
# Total magnetization: 0.000 μB/cell
# Space group: Im-3 (204)
# ΔE_f: 92 meV per atom
# Calculated volume: 457.0 Å³/f.u.

***

5.
# NaZnIn (PBE-GGA, relaxed)
data_NaZnIn
_symmetry_space_group_name_H-M 'P 1'
_symmetry_Int_Tables_number 1
_symmetry_space_group_name_Hall 'P 1'
_cell_length_a 4.874
_cell_length_b 3.297
_cell_length_c 8.950
_cell_angle_alpha 82.49
_cell_angle_beta 90.09
_cell_angle_gamma 89.93
loop_
_atom_site_label
_atom_site_fract_x
_atom_site_fract_y
_atom_site_fract_z
In1 0.719 0.063 0.957
Zn1 0.720 0.913 0.295
Na1 0.220 0.357 0.472
In2 0.720 0.761 0.634
Zn2 0.220 0.913 0.795
Na2 0.219 0.468 0.119
# Total magnetization: 0.000 μB/cell
# Distance to the lowest polymorph of the same formula: 73 meV per atom
# Space group: P-1 (2)
# ΔE_f: 15 meV per atom
# Calculated volume: 71.3 Å³/f.u.

***

6.
# NaZnIn5 (PBE-GGA, relaxed)
data_NaZnIn5
_symmetry_space_group_name_H-M 'P 1'
_symmetry_Int_Tables_number 1
_symmetry_space_group_name_Hall 'P 1'
_cell_length_a 4.926
_cell_length_b 4.926
_cell_length_c 7.431
_cell_angle_alpha 90.00
_cell_angle_beta 90.00
_cell_angle_gamma 90.00
loop_
_atom_site_label
_atom_site_fract_x
_atom_site_fract_y
_atom_site_fract_z
In1 0.000 0.500 0.712
In2 0.500 0.500 0.000
In3 0.500 0.000 0.288
In4 0.500 0.000 0.712
Na1 0.000 0.000 0.000
In5 0.000 0.500 0.288
Zn1 0.000 0.000 0.500
# Total magnetization: 0.000 μB/cell
# Space group: P4/mmm (123)
# ΔE_f: -17 meV per atom
# Calculated volume: 180.3 Å³/f.u.

***

Computed density (g cm⁻³) in order:
2.39, 2.43, 5.30, 6.04, 4.73, 6.10